Version w
Density functional theory data (PBE-GGA) for CeDyLu after structural relaxation.

As for the space group: I4mm, No. 107. The density comes out at 8.77 Mg/m³. The density of states at the Fermi level comes out at 6.5 states/eV per cell.

Lattice parameters (Å, degrees): 7.811 7.811 7.811 154.15 154.15 36.87
Fractional coordinates of all 3 atoms:
Ce 0.000 0.000 0.000
Dy 0.666 0.666 0.000
Lu 0.337 0.337 0.000

Version x
Density functional theory data (PBE-GGA) for CeDyLu after structural relaxation.

As for the space group: P3m1, No. 156. The density comes out at 8.83 Mg/m³. The density of states at the Fermi level comes out at 6.2 states/eV per cell.

Lattice parameters (Å, degrees): 3.484 3.484 8.543 90.00 90.00 120.00
Fractional coordinates of all 3 atoms:
Ce 0.000 0.000 0.000
Dy 0.333 0.667 0.665
Lu 0.667 0.333 0.329

Which structure loses on stability? version w does.

Version w
Density functional theory data (PBE-GGA) for CeDyMg2 after structural relaxation.

As for the space group: Fm-3m, No. 225. The density comes out at 5.28 Mg/m³. The density of states at the Fermi level comes out at 6.7 states/eV per cell.

Lattice parameters (Å, degrees): 5.385 5.385 5.385 60.00 60.00 60.00
Fractional coordinates of all 4 atoms:
Ce 0.000 0.000 0.000
Dy 0.500 0.500 0.500
Mg 0.250 0.250 0.250
Mg 0.750 0.750 0.750

Version x
Density functional theory data (PBE-GGA) for CeDyMg2 after structural relaxation.

As for the space group: P4/mmm, No. 123. The density comes out at 5.28 Mg/m³. The density of states at the Fermi level comes out at 7.7 states/eV per cell.

Lattice parameters (Å, degrees): 5.426 5.426 3.749 90.00 90.00 90.00
Fractional coordinates of all 4 atoms:
Ce 0.000 0.000 0.000
Dy 0.500 0.500 0.000
Mg 0.000 0.500 0.500
Mg 0.500 0.000 0.500

Which structure loses on stability? version x does.

Version w
Density functional theory data (PBE-GGA) for Ce2DyMn after structural relaxation.

As for the space group: R3m, No. 160. The density comes out at 7.84 Mg/m³. The density of states at the Fermi level comes out at 6.3 states/eV per cell.

Lattice parameters (Å, degrees): 8.686 8.686 8.686 25.31 25.31 25.31
Fractional coordinates of all 4 atoms:
Ce 0.000 0.000 0.000
Ce 0.223 0.223 0.223
Dy 0.775 0.775 0.775
Mn 0.637 0.637 0.637

Version x
Density functional theory data (PBE-GGA) for Ce2DyMn after structural relaxation.

As for the space group: P4/mmm, No. 123. The density comes out at 8.18 Mg/m³. The density of states at the Fermi level comes out at 11.5 states/eV per cell.

Lattice parameters (Å, degrees): 3.459 3.459 8.447 90.00 90.00 90.00
Fractional coordinates of all 4 atoms:
Ce 0.000 0.000 0.200
Ce 0.000 0.000 0.800
Dy 0.500 0.500 0.500
Mn 0.500 0.500 0.000

Which structure loses on stability? version w does.

Version w
Density functional theory data (PBE-GGA) for CeDyMn after structural relaxation.

As for the space group: P-1, No. 2. The density comes out at 8.74 Mg/m³. The density of states at the Fermi level comes out at 7.9 states/eV per cell.

Lattice parameters (Å, degrees): 5.129 5.709 5.805 74.07 63.93 63.39
Fractional coordinates of all 6 atoms:
Ce 0.114 0.179 0.093
Ce 0.886 0.821 0.907
Dy 0.324 0.549 0.302
Dy 0.676 0.451 0.698
Mn 0.351 0.099 0.698
Mn 0.649 0.901 0.302

Version x
Density functional theory data (PBE-GGA) for CeDyMn after structural relaxation.

As for the space group: I4mm, No. 107. The density comes out at 8.53 Mg/m³. The density of states at the Fermi level comes out at 3.8 states/eV per cell.

Lattice parameters (Å, degrees): 6.777 6.777 6.777 151.74 151.74 40.39
Fractional coordinates of all 3 atoms:
Ce 0.000 0.000 0.000
Dy 0.257 0.257 0.000
Mn 0.617 0.617 0.000

Which structure loses on stability? version x does.

Version w
Density functional theory data (PBE-GGA) for Ce2DyN after structural relaxation.

As for the space group: P4/mmm, No. 123. The density comes out at 8.70 Mg/m³. The density of states at the Fermi level comes out at 7.6 states/eV per cell.

Lattice parameters (Å, degrees): 3.129 3.129 8.904 90.00 90.00 90.00
Fractional coordinates of all 4 atoms:
Ce 0.000 0.000 0.160
Ce 0.000 0.000 0.840
Dy 0.500 0.500 0.500
N 0.500 0.500 0.000

Version x
Density functional theory data (PBE-GGA) for Ce2DyN after structural relaxation.

As for the space group: R-3m, No. 166. The density comes out at 7.72 Mg/m³. The density of states at the Fermi level comes out at 9.3 states/eV per cell.

Lattice parameters (Å, degrees): 9.486 9.486 9.486 21.25 21.25 21.25
Fractional coordinates of all 4 atoms:
Ce 0.218 0.218 0.218
Ce 0.782 0.782 0.782
Dy 0.000 0.000 0.000
N 0.500 0.500 0.500

Which structure loses on stability? version w does.

Version w
Density functional theory data (PBE-GGA) for Ce2NdDy after structural relaxation.

As for the space group: R3m, No. 160. The density comes out at 7.83 Mg/m³. The density of states at the Fermi level comes out at 10.0 states/eV per cell.

Lattice parameters (Å, degrees): 11.846 11.846 11.846 17.04 17.04 17.04
Fractional coordinates of all 4 atoms:
Ce 0.000 0.000 0.000
Ce 0.169 0.169 0.169
Nd 0.753 0.753 0.753
Dy 0.584 0.584 0.584

Version x
Density functional theory data (PBE-GGA) for Ce2NdDy after structural relaxation.

As for the space group: R-3m, No. 166. The density comes out at 7.84 Mg/m³. The density of states at the Fermi level comes out at 10.6 states/eV per cell.

Lattice parameters (Å, degrees): 11.833 11.833 11.833 17.05 17.05 17.05
Fractional coordinates of all 4 atoms:
Ce 0.249 0.249 0.249
Ce 0.751 0.751 0.751
Nd 0.000 0.000 0.000
Dy 0.500 0.500 0.500

Version y
Density functional theory data (PBE-GGA) for Ce2NdDy after structural relaxation.

As for the space group: Fm-3m, No. 225. The density comes out at 7.49 Mg/m³. The density of states at the Fermi level comes out at 17.4 states/eV per cell.

Lattice parameters (Å, degrees): 5.689 5.689 5.689 60.00 60.00 60.00
Fractional coordinates of all 4 atoms:
Ce 0.250 0.250 0.250
Ce 0.750 0.750 0.750
Nd 0.000 0.000 0.000
Dy 0.500 0.500 0.500

Which structure loses on stability? version y does.